# K2HfHBr

An optimized crystal structure of K2HfHBr (GGA-PBE, Alexandria via LeMat-Bulk).

- Total energy: -15.9 eV for the cell shown

```
5
Lattice="6.9337 0.0000 0.0000 0.0000 6.9337 0.0000 0.0000 0.0000 3.7984" Properties=species:S:1:pos:R:3 pbc="T T T"
K 0.0000 3.4668 0.0000
K 3.4668 0.0000 0.0000
Hf 0.0000 0.0000 0.0000
H 0.0000 0.0000 1.8992
Br 3.4668 3.4668 1.8992
```

# K2IF5

An optimized crystal structure of K2IF5 (GGA-PBE, Alexandria via LeMat-Bulk).

- Total energy: -30.0 eV for the cell shown
- Raw formation energy: -2.106 eV/atom

```
8
Lattice="4.2393 0.0000 0.0000 -1.2212 6.7568 0.0000 -0.6734 -2.3905 6.4078" Properties=species:S:1:pos:R:3 pbc="T T T"
K 0.0000 0.0000 0.0000
K 0.5361 4.0890 2.5534
I 0.9092 0.9023 4.9678
F 0.6345 2.6321 0.2706
F 0.1775 2.8289 5.2141
F 1.6313 -1.0227 4.8308
F 1.7952 1.5521 3.2608
F 2.6533 5.1907 1.8153
```

# AlSi2Tc

An optimized crystal structure of AlSi2Tc (GGA-PBE, Alexandria via LeMat-Bulk).

- Total energy: -25.1 eV for the cell shown
- Raw formation energy: -0.025 eV/atom

```
4
Lattice="1.4885 0.8594 7.6694 -1.4885 0.8594 7.6694 0.0000 -1.7188 7.6694" Properties=species:S:1:pos:R:3 pbc="T T T"
Al 0.0000 0.0000 0.0000
Si 0.0000 0.0000 5.6131
Si 0.0000 0.0000 11.4499
Tc 0.0000 0.0000 17.3380
```

# Li3Ac2CuF12

An optimized crystal structure of Li3Ac2CuF12 (GGA-PBE, Alexandria via LeMat-Bulk).

- Total energy: -93.7 eV for the cell shown
- Raw formation energy: -2.958 eV/atom

```
18
Lattice="3.6562 2.1109 5.4850 -3.6562 2.1109 5.4850 0.0000 -4.2218 5.4850" Properties=species:S:1:pos:R:3 pbc="T T T"
Li -1.8281 -1.0554 5.4850
Li -1.8281 1.0554 10.9699
Li 0.0000 2.1109 5.4849
Ac 0.0000 0.0000 2.5868
Ac 0.0000 0.0000 13.8681
Cu 0.0000 0.0000 8.2274
F 0.0000 -2.0680 4.2307
F -1.7909 1.0340 4.2307
F -1.3641 -0.7876 7.2076
F -1.7909 -1.0340 12.2241
F 0.0000 -1.5751 9.2473
F -1.3641 0.7876 9.2473
F 1.3641 -0.7876 7.2076
F 0.0000 1.5751 7.2076
F 1.7909 1.0340 4.2307
F 1.3641 0.7876 9.2473
F 1.7909 -1.0340 12.2242
F 0.0000 2.0680 12.2242
```

# Rb2Ca2C

An optimized crystal structure of Rb2Ca2C (GGA-PBE, Alexandria via LeMat-Bulk).

- Polymorph energy (0 for the lowest one): 27 meV per atom
- Total energy: -17.4 eV for the cell shown
- Calculated formation energy: 1.2961 eV/atom

```
10
Lattice="7.7389 0.0000 0.0000 0.0000 7.7389 0.0000 0.0000 0.0000 7.2029" Properties=species:S:1:pos:R:3 pbc="T T T"
Rb 1.2819 2.5875 0.0000
Rb 2.5875 6.4570 0.0000
Rb 5.1514 1.2819 0.0000
Rb 6.4570 5.1514 0.0000
Ca 1.4113 5.2807 3.6014
Ca 2.4582 1.4113 3.6014
Ca 5.2807 6.3276 3.6014
Ca 6.3276 2.4582 3.6014
C 0.0000 0.0000 0.0000
C 3.8695 3.8695 0.0000
```

# Ca3Er2NpAs6

An optimized crystal structure of Ca3Er2NpAs6 (GGA-PBE, Alexandria via LeMat-Bulk).

- Total energy: -69.8 eV for the cell shown
- Calculated formation energy: -1.1546 eV/atom

```
12
Lattice="3.5809 -6.1984 0.0000 3.5809 6.1984 0.0000 -2.3845 0.0000 6.8539" Properties=species:S:1:pos:R:3 pbc="T T T"
Ca 0.0000 0.0000 0.0000
Ca 3.5809 2.1011 0.0000
Ca 3.5809 -2.1011 0.0000
Er 2.3887 4.1376 3.4270
Er 2.3887 -4.1376 3.4270
Np 2.3887 0.0000 3.4270
As 1.2390 1.9941 1.8474
As 0.0966 0.0000 4.9974
As 1.2390 -1.9941 1.8474
As 3.5385 1.9941 5.0066
As 4.6809 0.0000 1.8565
As 3.5385 -1.9941 5.0066
```

# NbCrSe2Br

An optimized crystal structure of NbCrSe2Br (GGA-PBE, Alexandria via LeMat-Bulk).

- Polymorph energy (0 for the lowest one): 0 meV per atom
- Total energy: -27.7 eV for the cell shown
- Raw formation energy: 0.130 eV/atom

```
5
Lattice="5.0593 0.0000 0.0000 0.0000 5.0593 0.0000 0.0000 0.0000 5.2142" Properties=species:S:1:pos:R:3 pbc="T T T"
Nb 0.0000 0.0000 0.0000
Cr 2.5297 2.5297 2.6071
Se 0.0000 2.5297 0.0000
Se 2.5297 0.0000 0.0000
Br 0.0000 0.0000 2.6071
```

# AcDy5Bi6

An optimized crystal structure of AcDy5Bi6 (GGA-PBE, Alexandria via LeMat-Bulk).

- Total energy: -60.8 eV for the cell shown
- Calculated formation energy: -0.8623 eV/atom

```
12
Lattice="3.9388 -6.8240 0.0000 3.9388 6.8240 0.0000 -2.6429 0.0000 7.4248" Properties=species:S:1:pos:R:3 pbc="T T T"
Ac 0.0000 0.0000 0.0000
Dy 2.6173 4.6240 3.7124
Dy 3.9388 2.3016 0.0000
Dy 2.6173 0.0000 3.7124
Dy 3.9388 -2.3016 0.0000
Dy 2.6173 -4.6240 3.7124
Bi 1.3626 2.3626 1.9273
Bi 0.0960 0.0000 5.5390
Bi 1.3626 -2.3626 1.9273
Bi 3.8720 2.3626 5.4975
Bi 5.1386 0.0000 1.8858
Bi 3.8720 -2.3626 5.4975
```

# BaCrTc2

An optimized crystal structure of BaCrTc2 (GGA-PBE, Alexandria via LeMat-Bulk).

- Polymorph energy (0 for the lowest one): 744 meV per atom
- Total energy: -27.1 eV for the cell shown
- Calculated formation energy: 1.2997 eV/atom

```
4
Lattice="0.0000 3.2879 3.2879 3.2879 0.0000 3.2879 3.2879 3.2879 0.0000" Properties=species:S:1:pos:R:3 pbc="T T T"
Ba 0.0000 0.0000 0.0000
Cr 3.2879 3.2879 3.2879
Tc 1.6439 1.6439 1.6439
Tc 4.9318 4.9318 4.9318
```

# CaGa2Ru

An optimized crystal structure of CaGa2Ru (GGA-PBE, Alexandria via LeMat-Bulk).

- Total energy: -18.8 eV for the cell shown
- Calculated formation energy: -0.3631 eV/atom

```
4
Lattice="3.1832 0.0000 0.0000 0.0000 3.1832 0.0000 0.0000 0.0000 7.1708" Properties=species:S:1:pos:R:3 pbc="T T T"
Ca 0.0000 0.0000 0.0000
Ga 1.5916 1.5916 2.2041
Ga 1.5916 1.5916 4.9667
Ru 0.0000 0.0000 3.5854
```

# SiBr2Cl

An optimized crystal structure of SiBr2Cl (GGA-PBE, Alexandria via LeMat-Bulk).

- Polymorph energy (0 for the lowest one): 100 meV per atom
- Total energy: -12.1 eV for the cell shown
- Raw formation energy: -0.377 eV/atom

```
4
Lattice="6.7209 -1.6489 0.0000 6.7209 1.6489 0.0000 -3.3902 0.0000 6.2921" Properties=species:S:1:pos:R:3 pbc="T T T"
Si 0.0000 0.0000 0.0000
Br 2.3024 0.0000 4.5997
Br 5.7990 0.0000 1.7531
Cl 5.1501 0.0000 6.2350
```

# Y3HgC

An optimized crystal structure of Y3HgC (GGA-PBE, Alexandria via LeMat-Bulk).

- Polymorph energy (0 for the lowest one): 454 meV per atom
- Total energy: -57.6 eV for the cell shown
- Calculated formation energy: 0.0257 eV/atom

```
10
Lattice="5.0500 0.0000 0.0000 -2.5250 4.3734 0.0000 0.0000 0.0000 10.0354" Properties=species:S:1:pos:R:3 pbc="T T T"
Y 0.0000 0.0000 2.5088
Y 0.0000 0.0000 7.5265
Y 0.0000 2.9156 0.5693
Y 0.0000 2.9156 4.4484
Y 2.5250 1.4578 5.5869
Y 2.5250 1.4578 9.4661
Hg 0.0000 2.9156 7.5265
Hg 2.5250 1.4578 2.5088
C 0.0000 0.0000 0.0000
C 0.0000 0.0000 5.0177
```

# Ta2InCu

An optimized crystal structure of Ta2InCu (GGA-PBE, Alexandria via LeMat-Bulk).

- Total energy: -29.6 eV for the cell shown
- Calculated formation energy: 0.2271 eV/atom

```
4
Lattice="2.8457 -4.1902 0.0000 2.8457 4.1902 0.0000 0.0000 0.0000 2.9388" Properties=species:S:1:pos:R:3 pbc="T T T"
Ta 1.4228 2.0951 0.0000
Ta 1.4228 -2.0951 0.0000
In 0.0000 0.0000 1.4694
Cu 2.8457 0.0000 1.4694
```

# Ce4SbP2Se

An optimized crystal structure of Ce4SbP2Se (GGA-PBE, Alexandria via LeMat-Bulk).

- Total energy: -53.9 eV for the cell shown
- Raw formation energy: -1.462 eV/atom

```
8
Lattice="7.2780 0.0000 0.0000 0.0000 4.1998 0.0000 -2.4252 0.0000 6.9849" Properties=species:S:1:pos:R:3 pbc="T T T"
Ce 1.1690 0.0000 1.5809
Ce -0.0412 2.0999 5.3796
Ce 4.8940 2.0999 1.6053
Ce 3.6838 0.0000 5.4040
Sb 2.4264 2.0999 3.4924
P 0.0000 2.0999 0.0000
P 3.6390 0.0000 0.0000
Se -1.2126 0.0000 3.4924
```

# TlNi6Sb

An optimized crystal structure of TlNi6Sb (GGA-PBE, Alexandria via LeMat-Bulk).

- Total energy: -164.3 eV for the cell shown
- Raw formation energy: 0.014 eV/atom

```
32
Lattice="3.7587 -5.3132 0.0000 3.7587 5.3132 0.0000 0.0000 0.0000 10.6334" Properties=species:S:1:pos:R:3 pbc="T T T"
Tl 0.0000 0.0000 2.6477
Tl 0.0000 0.0000 7.9858
Tl 3.7587 2.6904 0.0000
Tl 3.7587 -2.6904 0.0000
Ni 0.0000 0.0000 0.0000
Ni 0.0000 0.0000 5.3167
Ni 1.9096 1.3323 4.0177
Ni 1.9096 1.3323 6.6157
Ni 1.9182 1.3247 1.3665
Ni 1.9182 1.3247 9.2669
Ni 3.7587 2.6376 2.7227
Ni 3.7587 2.6376 7.9107
Ni 1.9096 -1.3323 4.0177
Ni 1.9096 -1.3323 6.6157
Ni 1.9182 -1.3247 1.3665
Ni 1.9182 -1.3247 9.2669
Ni 3.7587 0.0000 0.0000
Ni 3.7587 0.0000 5.3167
Ni 5.5992 1.3247 1.3665
Ni 5.5992 1.3247 9.2669
Ni 5.6079 1.3323 4.0177
Ni 5.6079 1.3323 6.6157
Ni 3.7587 -2.6376 2.7227
Ni 3.7587 -2.6376 7.9107
Ni 5.5992 -1.3247 1.3665
Ni 5.5992 -1.3247 9.2669
Ni 5.6079 -1.3323 4.0177
Ni 5.6079 -1.3323 6.6157
Sb 3.7587 2.6814 5.3167
Sb 3.7587 0.0000 2.6357
Sb 3.7587 0.0000 7.9977
Sb 3.7587 -2.6814 5.3167
```

# CrHgP3

An optimized crystal structure of CrHgP3 (GGA-PBE, Alexandria via LeMat-Bulk).

- Polymorph energy (0 for the lowest one): 0 meV per atom
- Total energy: -24.0 eV for the cell shown
- Calculated formation energy: 0.4371 eV/atom

```
5
Lattice="4.5128 0.0000 0.0000 0.0000 4.5128 0.0000 0.0000 0.0000 4.5128" Properties=species:S:1:pos:R:3 pbc="T T T"
Cr 0.0000 0.0000 0.0000
Hg 2.2564 2.2564 2.2564
P 0.0000 0.0000 2.2564
P 0.0000 2.2564 0.0000
P 2.2564 0.0000 0.0000
```

# Ca2PPt2

An optimized crystal structure of Ca2PPt2 (GGA-PBE, Alexandria via LeMat-Bulk).

- Polymorph energy (0 for the lowest one): 292 meV per atom
- Total energy: -24.9 eV for the cell shown
- Calculated formation energy: -0.6886 eV/atom

```
5
Lattice="-1.8470 1.8470 8.2065 1.8470 -1.8470 8.2065 1.8470 1.8470 -8.2065" Properties=species:S:1:pos:R:3 pbc="T T T"
Ca 0.0000 0.0000 1.6796
Ca 0.0000 0.0000 14.7334
P 0.0000 0.0000 8.2065
Pt 1.8470 0.0000 4.1033
Pt 0.0000 1.8470 4.1033
```

# SrDy4In5

An optimized crystal structure of SrDy4In5 (GGA-PBE, Alexandria via LeMat-Bulk).

- Total energy: -38.3 eV for the cell shown
- Calculated formation energy: -0.4528 eV/atom

```
10
Lattice="3.8086 0.0000 0.0000 0.0000 3.8086 0.0000 0.0000 0.0000 19.2194" Properties=species:S:1:pos:R:3 pbc="T T T"
Sr 0.0000 0.0000 0.0000
Dy 0.0000 0.0000 4.0544
Dy 0.0000 0.0000 7.7689
Dy 0.0000 0.0000 11.4505
Dy 0.0000 0.0000 15.1651
In 1.9043 1.9043 2.2415
In 1.9043 1.9043 5.9272
In 1.9043 1.9043 9.6097
In 1.9043 1.9043 13.2922
In 1.9043 1.9043 16.9779
```

# La2CuAu

An optimized crystal structure of La2CuAu (GGA-PBE, Alexandria via LeMat-Bulk).

- Total energy: -18.7 eV for the cell shown
- Calculated formation energy: -0.3690 eV/atom

```
4
Lattice="6.0475 -1.9148 0.0000 6.0475 1.9148 0.0000 -1.8223 0.0000 4.3362" Properties=species:S:1:pos:R:3 pbc="T T T"
La 0.0000 0.0000 0.0000
La 1.2082 0.0000 3.0564
Cu 8.7127 0.0000 1.1156
Au 4.4206 0.0000 1.8674
```

# Pm3Nd7Y

An optimized crystal structure of Pm3Nd7Y (GGA-PBE, Alexandria via LeMat-Bulk).

- Total energy: -51.6 eV for the cell shown
- Calculated formation energy: 0.2256 eV/atom

```
11
Lattice="-2.9969 5.7096 5.7500 2.9969 -5.7096 5.7500 2.9969 5.7096 -5.7500" Properties=species:S:1:pos:R:3 pbc="T T T"
Pm 0.0000 0.0000 0.0000
Pm 2.9969 2.3776 0.0000
Pm 0.0000 3.3321 5.7500
Nd 2.9969 -3.3709 3.4745
Nd 2.9969 0.0000 2.3957
Nd 0.0000 2.3388 2.2755
Nd 0.0000 0.0000 5.7500
Nd 2.9969 3.3709 3.4745
Nd 0.0000 5.7096 3.3544
Nd 0.0000 9.0805 2.2755
Y 0.0000 5.7096 0.0000
```

# Ac6Pm2Sm3

An optimized crystal structure of Ac6Pm2Sm3 (GGA-PBE, Alexandria via LeMat-Bulk).

- Total energy: -46.3 eV for the cell shown
- Calculated formation energy: 0.1814 eV/atom

```
11
Lattice="3.3358 -5.7646 0.0000 3.3358 5.7646 0.0000 -2.1411 0.0000 11.9497" Properties=species:S:1:pos:R:3 pbc="T T T"
Ac 0.0777 1.9172 8.9288
Ac 1.0983 0.0000 3.0595
Ac 0.0777 -1.9172 8.9288
Ac 4.4528 1.9172 3.0209
Ac 3.4322 0.0000 8.8902
Ac 4.4528 -1.9172 3.0209
Pm 2.2653 1.9461 5.9749
Pm 2.2653 -1.9461 5.9749
Sm 3.3358 3.8499 0.0000
Sm 3.3358 0.0000 0.0000
Sm 3.3358 -3.8499 0.0000
```

# MgGa

An optimized crystal structure of MgGa (GGA-PBE, Alexandria via LeMat-Bulk).

- Total energy: -38.7 eV for the cell shown
- Calculated formation energy: -0.1093 eV/atom

```
16
Lattice="5.3661 0.0000 0.0000 0.0000 5.5236 0.0000 0.0000 0.0000 10.7217" Properties=species:S:1:pos:R:3 pbc="T T T"
Mg 0.8526 0.1343 2.1624
Mg 0.8680 1.7701 10.0005
Mg 1.8151 3.7534 4.6396
Mg 1.8304 5.3893 7.5232
Mg 3.5357 2.6275 8.5593
Mg 3.5510 0.9917 0.7212
Mg 4.4982 4.5319 6.0821
Mg 4.5135 2.8961 3.1985
Ga 0.8799 2.5676 7.1747
Ga 0.9022 1.0113 4.8827
Ga 1.7809 4.5123 10.2435
Ga 1.8032 2.9560 1.8139
Ga 3.5629 0.1942 3.5470
Ga 3.5852 1.7505 5.8390
Ga 4.4640 3.7731 0.4782
Ga 4.4862 5.3294 8.9078
```

# Er2ScPd3

An optimized crystal structure of Er2ScPd3 (GGA-PBE, Alexandria via LeMat-Bulk).

- Polymorph energy (0 for the lowest one): 3 meV per atom
- Total energy: -36.5 eV for the cell shown
- Calculated formation energy: -0.9062 eV/atom

```
6
Lattice="3.4167 0.0000 0.0000 0.0000 3.4167 0.0000 0.0000 0.0000 10.3043" Properties=species:S:1:pos:R:3 pbc="T T T"
Er 0.0000 0.0000 1.7731
Er 0.0000 0.0000 8.5311
Sc 0.0000 0.0000 5.1521
Pd 1.7084 1.7084 0.0000
Pd 1.7084 1.7084 3.5760
Pd 1.7084 1.7084 6.7282
```